The following is a DFT calculation (PBE-GGA) of a relaxed RbCa2I crystal.

Computed properties:
E_form (uncorrected): -0.14 eV/atom
Magnetization: 0.000 Bohr magnetons per cell
Polymorph energy (0 for the lowest one): 0.00 eV per formula unit

extended XYZ file:
```
8
Lattice="-3.5883 3.5883 10.8565 3.5883 -3.5883 10.8565 3.5883 3.5883 -10.8565" Properties=species:S:1:pos:R:3 pbc="T T T"
Rb 0.0000 0.0000 0.0000
Rb 0.0000 3.5883 5.4283
Ca 1.7942 -0.1105 8.1424
Ca 3.4779 1.7942 2.7141
Ca 1.7942 3.6988 -2.7141
Ca 0.1105 1.7942 13.5706
I 3.5883 0.0000 5.4283
I 0.0000 0.0000 10.8565
```

The following is a DFT calculation (PBE-GGA) of a relaxed AlZn2Bi crystal.

Computed properties:
Energy of formation from the pure elements: 251 meV/atom
Magnetization: 0.000 Bohr magnetons per cell
Polymorph energy (0 for the lowest one): 0.27 eV per formula unit

extended XYZ file:
```
4
Lattice="0.0000 3.5039 3.5039 3.5039 0.0000 3.5039 3.5039 3.5039 0.0000" Properties=species:S:1:pos:R:3 pbc="T T T"
Al 0.0000 0.0000 0.0000
Zn 1.7519 1.7519 1.7519
Zn 5.2558 5.2558 5.2558
Bi 3.5039 3.5039 3.5039
```